1.
Entry from the Alexandria database: a relaxed structure of AlZnFe2 (PBEsol).

Values from the calculation:
DFT formation energy in eV per atom: -0.091
SG: I-4m2 (119)

abc: 4.5042 4.5042 4.5042
angles: 132.75 132.75 69.04
Closest atoms and distances in Å follow each position.
Fractional coordinates of all 4 atoms:
Al 0.0000 0.0000 0.0000  8 Fe 2.55-2.59, 4 Zn 2.59
Zn 0.2500 0.7500 0.5000  8 Fe 2.55-2.59, 4 Al 2.59
Fe 0.5000 0.5000 0.0000  4 Al 2.55, 4 Fe 2.59, 4 Zn 2.59
Fe 0.7500 0.2500 0.5000  4 Zn 2.55, 4 Fe 2.59, 4 Al 2.59



2.
Entry from the Alexandria database: a relaxed structure of ScGaRu3 (PBEsol).

Values from the calculation:
DFT formation energy in eV per atom: 0.811
SG: Pm-3m (221)

abc: 4.4538 4.4538 4.4538
angles: 90.00 90.00 90.00
Closest atoms and distances in Å follow each position.
Fractional coordinates of all 5 atoms:
Sc 0.0000 0.0000 0.0000  12 Ru 3.15
Ga 0.5000 0.5000 0.5000  6 Ru 2.23
Ru 0.0000 0.5000 0.5000  2 Ga 2.23
Ru 0.5000 0.0000 0.5000  2 Ga 2.23
Ru 0.5000 0.5000 0.0000  2 Ga 2.23



3.
Entry from the Alexandria database: a relaxed structure of Ca3Cr3P4O16 (PBEsol).

Values from the calculation:
SG: P-1 (2)
E_form (uncorrected) in kJ/mol of atoms: -230.54

abc: 8.9246 8.9934 9.8344
angles: 104.57 106.38 109.85
Closest atoms and distances in Å follow each position.
Fractional coordinates of all 52 atoms:
Ca 0.0225 0.4972 0.3018  6 O 2.29-2.50
Ca 0.1789 0.1522 0.7121  6 O 2.30-2.57
Ca 0.2295 0.2150 0.2086  7 O 2.36-2.56
Ca 0.7705 0.7850 0.7914  7 O 2.36-2.56
Ca 0.8211 0.8478 0.2879  6 O 2.30-2.57
Ca 0.9775 0.5028 0.6982  6 O 2.29-2.50
Cr 0.4434 0.6895 0.9170  4 O 2.00-2.07
Cr 0.4500 0.6969 0.3882  4 O 1.98-2.01
Cr 0.4496 0.9804 0.2292  4 O 1.97-2.00
Cr 0.5504 0.0196 0.7708  4 O 1.97-2.00
Cr 0.5500 0.3031 0.6118  4 O 1.98-2.01
Cr 0.5566 0.3105 0.0830  4 O 2.00-2.07
P 0.2349 0.4365 0.0136  4 O 1.54-1.58
P 0.2353 0.9192 0.8898  4 O 1.54-1.56
P 0.2602 0.9393 0.4444  4 O 1.51-1.58
P 0.3145 0.4898 0.5764  4 O 1.52-1.57
P 0.6855 0.5102 0.4236  4 O 1.52-1.57
P 0.7398 0.0607 0.5556  4 O 1.51-1.58
P 0.7647 0.0808 0.1102  4 O 1.54-1.56
P 0.7651 0.5635 0.9864  4 O 1.54-1.58
O 0.0573 0.9064 0.7988  1 P 1.54
O 0.0959 0.9299 0.4648  1 P 1.51
O 0.1200 0.3809 0.8425  1 P 1.54
O 0.1307 0.4647 0.5518  1 P 1.52
O 0.1351 0.4052 0.1161  1 P 1.54
O 0.2384 0.7435 0.8517  1 P 1.54
O 0.2625 0.7628 0.4049  1 P 1.54
O 0.2842 0.0032 0.0641  1 P 1.55
O 0.2900 0.0185 0.3262  1 P 1.55
O 0.3248 0.3122 0.0111  1 P 1.58
O 0.3298 0.4824 0.4196  1 P 1.57
O 0.3432 0.3398 0.6125  1 P 1.56
O 0.3752 0.6262 0.0826  1 P 1.56
O 0.3756 0.0420 0.8528  1 P 1.56
O 0.4189 0.0680 0.6029  1 P 1.58
O 0.4580 0.6637 0.7070  1 P 1.56
O 0.5420 0.3363 0.2930  1 P 1.56
O 0.5811 0.9320 0.3971  1 P 1.58
O 0.6244 0.9580 0.1472  1 P 1.56
O 0.6248 0.3738 0.9174  1 P 1.56
O 0.6568 0.6602 0.3875  1 P 1.56
O 0.6702 0.5176 0.5804  1 P 1.57
O 0.6752 0.6878 0.9889  1 P 1.58
O 0.7100 0.9815 0.6738  1 P 1.55
O 0.7158 0.9968 0.9359  1 P 1.55
O 0.7375 0.2372 0.5951  1 P 1.54
O 0.7616 0.2565 0.1483  1 P 1.54
O 0.8649 0.5948 0.8839  1 P 1.54
O 0.8693 0.5353 0.4482  1 P 1.52
O 0.8800 0.6191 0.1575  1 P 1.54
O 0.9041 0.0701 0.5352  1 P 1.51
O 0.9427 0.0936 0.2012  1 P 1.54



4.
Entry from the Alexandria database: a relaxed structure of Ba8SrCa3W4O24 (PBEsol).

Values from the calculation:
SG: P-1 (2)
E_form (uncorrected) in kJ/mol of atoms: -270.94

abc: 5.9248 10.2919 10.4019
angles: 80.53 89.79 73.39
Closest atoms and distances in Å follow each position.
Fractional coordinates of all 40 atoms:
Ba 0.0643 0.3722 0.1966  8 O 2.73-3.03
Ba 0.1870 0.1242 0.5614  6 O 2.70-2.91
Ba 0.3064 0.8807 0.9361  7 O 2.72-2.99
Ba 0.4348 0.6254 0.3168  7 O 2.72-3.03
Ba 0.5652 0.3746 0.6832  7 O 2.72-3.03
Ba 0.6936 0.1193 0.0639  7 O 2.72-2.99
Ba 0.8130 0.8758 0.4386  6 O 2.70-2.91
Ba 0.9357 0.6278 0.8034  8 O 2.73-3.03
Sr 0.5000 0.5000 0.0000  6 O 2.37-2.40
Ca 0.0000 0.5000 0.5000  6 O 2.29-2.31
Ca 0.2514 0.9997 0.2488  6 O 2.28-2.31
Ca 0.7486 0.0003 0.7512  6 O 2.28-2.31
W 0.1292 0.2483 0.8738  6 O 1.91-1.95
W 0.3743 0.7525 0.6217  6 O 1.92-1.94
W 0.6257 0.2475 0.3783  6 O 1.92-1.94
W 0.8708 0.7517 0.1262  6 O 1.91-1.95
O 0.0559 0.3732 0.7081  1 W 1.94
O 0.0901 0.8453 0.1755  1 W 1.94
O 0.1081 0.6237 0.0478  1 W 1.91
O 0.1116 0.8709 0.6966  1 W 1.93
O 0.1692 0.6517 0.5690  1 W 1.94
O 0.1945 0.1243 0.0407  1 W 1.95
O 0.3037 0.8745 0.4556  1 W 1.93
O 0.3610 0.3684 0.4511  1 W 1.94
O 0.3631 0.3315 0.9180  1 W 1.92
O 0.3785 0.1197 0.7975  1 W 1.94
O 0.4183 0.1497 0.3254  1 W 1.93
O 0.4458 0.6272 0.7848  1 W 1.92
O 0.5542 0.3728 0.2152  1 W 1.92
O 0.5817 0.8503 0.6746  1 W 1.93
O 0.6215 0.8803 0.2025  1 W 1.94
O 0.6369 0.6685 0.0820  1 W 1.92
O 0.6390 0.6316 0.5489  1 W 1.94
O 0.6963 0.1255 0.5444  1 W 1.93
O 0.8055 0.8757 0.9593  1 W 1.95
O 0.8308 0.3483 0.4310  1 W 1.94
O 0.8884 0.1291 0.3034  1 W 1.93
O 0.8919 0.3763 0.9522  1 W 1.91
O 0.9099 0.1547 0.8245  1 W 1.94
O 0.9441 0.6268 0.2919  1 W 1.94



5.
Entry from the Alexandria database: a relaxed structure of ScFe2Rh (PBEsol).

Values from the calculation:
DFT formation energy in eV per atom: -0.010
SG: Pmmm (47)

abc: 2.7309 3.9866 5.0737
angles: 90.00 90.00 90.00
Closest atoms and distances in Å follow each position.
Fractional coordinates of all 4 atoms:
Sc 0.0000 0.0000 0.0000  2 Rh 2.54, 2 Sc 2.73, 8 Fe 2.76
Fe 0.5000 0.5000 0.2629  2 Fe 2.41-2.67
Fe 0.5000 0.5000 0.7371  2 Fe 2.41-2.67
Rh 0.0000 0.0000 0.5000  2 Sc 2.54, 8 Fe 2.70, 2 Rh 2.73



6.
Entry from the Alexandria database: a relaxed structure of NbHgTe3 (PBEsol).

Values from the calculation:
SG: Pm-3m (221)
E_form (uncorrected) in kJ/mol of atoms: 112.16

abc: 5.4149 5.4149 5.4149
angles: 90.00 90.00 90.00
Closest atoms and distances in Å follow each position.
Fractional coordinates of all 5 atoms:
Nb 0.0000 0.0000 0.0000  12 Te 3.83
Hg 0.5000 0.5000 0.5000  6 Te 2.71
Te 0.0000 0.5000 0.5000  2 Hg 2.71
Te 0.5000 0.0000 0.5000  2 Hg 2.71
Te 0.5000 0.5000 0.0000  2 Hg 2.71



7.
Entry from the Alexandria database: a relaxed structure of YHg2Rh (PBEsol).

Values from the calculation:
DFT formation energy in eV per atom: -0.366
SG: I-4m2 (119)

abc: 5.1541 5.1541 5.1541
angles: 129.98 129.98 73.44
Closest atoms and distances in Å follow each position.
Fractional coordinates of all 4 atoms:
Y 0.0000 0.0000 0.0000  8 Hg 3.00-3.08, 4 Rh 3.00
Hg 0.2500 0.7500 0.5000  4 Hg 3.00, 4 Y 3.00, 4 Rh 3.08
Hg 0.5000 0.5000 0.0000  4 Hg 3.00, 4 Rh 3.00, 4 Y 3.08
Rh 0.7500 0.2500 0.5000  8 Hg 3.00-3.08, 4 Y 3.00



8.
Entry from the Alexandria database: a relaxed structure of AlTl2ZnC (PBEsol).

Values from the calculation:
DFT formation energy in eV per atom: 0.882
SG: P4/mmm (123)

abc: 5.5884 5.5884 3.6675
angles: 90.00 90.00 90.00
Closest atoms and distances in Å follow each position.
Fractional coordinates of all 5 atoms:
Al 0.0000 0.0000 0.0000  2 C 1.83
Tl 0.0000 0.5000 0.0000  2 Al 2.79
Tl 0.5000 0.0000 0.0000  2 Al 2.79
Zn 0.5000 0.5000 0.5000  8 Tl 3.34, 2 Zn 3.67
C 0.0000 0.0000 0.5000  2 Al 1.83



Number 1: V 48.4 Å³/cell, calculated total energy -5.991 eV per atom. Number 2: V 88.3 Å³/cell, calculated total energy -7.281 eV per atom. Number 3: V 657.4 Å³/cell, calculated total energy -7.939 eV per atom. Number 4: V 598.9 Å³/cell, calculated total energy -7.974 eV per atom. Number 5: V 55.2 Å³/cell, calculated total energy -8.177 eV per atom. Number 6: V 158.8 Å³/cell, calculated total energy -3.231 eV per atom. Number 7: V 78.5 Å³/cell, calculated total energy -4.389 eV per atom. Number 8: V 114.5 Å³/cell, calculated total energy -3.233 eV per atom.